SrPuCoO5 PBE+U optimized geometry; crystal system = monoclinic; M_tot = 10.0 μB per cell; uncorrected energy = -64.66 eV per formula unit
1.0
3.587 -4.831 0.000
3.587 4.831 0.000
-3.443 0.000 7.198
Sr Pu Co O
2 2 2 10
Direct
0.173 0.827 0.750
0.827 0.173 0.250
0.500 0.500 0.000
0.500 0.500 0.500
0.189 0.811 0.250
0.811 0.189 0.750
0.148 0.249 0.905
0.203 0.605 0.402
0.249 0.148 0.405
0.395 0.797 0.098
0.429 0.571 0.750
0.571 0.429 0.250
0.605 0.203 0.902
0.751 0.852 0.595
0.797 0.395 0.598
0.852 0.751 0.095